The following is a DFT calculation (GGA-PBE) of an optimized crystal structure of Np4F.

a = 4.8073 Å, b = 4.8073 Å, c = 4.8073 Å
α = 90.00°, β = 90.00°, γ = 90.00°
Space group Pm-3m (No. 221)
Unique sites:
Np (0.0000, 0.0000, 0.0000) x1
Np (0.0000, 0.5000, 0.5000) x3
F (0.5000, 0.5000, 0.5000) x1

Results
- electronic total energy (eV/atom) = -10.69
- spin magnetization (μB per atom) = 3.191
- raw formation energy (eV per atom) = 0.03